VASP calculation (GGA-PBE) on a geometry-optimized Si3Te structure.

a = 6.6075 Å, b = 6.6075 Å, c = 6.6075 Å
α = 33.49°, β = 33.49°, γ = 33.49°
Fractional positions:
Si 0.0000 0.0000 0.0000
Si 0.2656 0.2656 0.2656
Si 0.7344 0.7344 0.7344
Te 0.5000 0.5000 0.5000

Formation energy (no corrections) ... 1.2 eV per formula unit
Spin magnetization ... 0.000 μB per formula unit


VASP calculation (GGA-PBE) on a geometry-optimized Sn2Pb5F12 structure.

a = 7.4929 Å, b = 7.4929 Å, c = 9.1116 Å
α = 102.75°, β = 102.75°, γ = 49.24°
Fractional positions:
Sn 0.2368 0.7632 0.0000
Sn 0.7632 0.2368 0.0000
Pb 0.0000 0.0000 0.5000
Pb 0.3136 0.3136 0.6456
Pb 0.3271 0.3271 0.2086
Pb 0.6729 0.6729 0.7914
Pb 0.6864 0.6864 0.3544
F 0.0254 0.0254 0.7726
F 0.0720 0.5760 0.8539
F 0.1044 0.5896 0.4256
F 0.4104 0.8956 0.5744
F 0.4240 0.9280 0.1461
F 0.4892 0.4892 0.7068
F 0.5108 0.5108 0.2932
F 0.5760 0.0720 0.8539
F 0.5896 0.1044 0.4256
F 0.8956 0.4104 0.5744
F 0.9280 0.4240 0.1461
F 0.9746 0.9746 0.2274

Formation energy (no corrections) ... -39.6 eV per formula unit
Spin magnetization ... 0.000 μB per formula unit


VASP calculation (GGA-PBE) on a geometry-optimized RbTl2In2Pb2 structure.

a = 9.8375 Å, b = 9.8375 Å, c = 9.8375 Å
α = 32.56°, β = 32.56°, γ = 32.56°
Fractional positions:
Rb 0.0000 0.0000 0.0000
Tl 0.2583 0.2583 0.2583
Tl 0.7417 0.7417 0.7417
In 0.4429 0.4429 0.4429
In 0.5571 0.5571 0.5571
Pb 0.1420 0.1420 0.1420
Pb 0.8580 0.8580 0.8580

Spin magnetization ... 0.000 μB per formula unit
DFT formation energy ... -39 kJ/mol of formula units


VASP calculation (GGA-PBE) on a geometry-optimized PrAlSi2 structure.

a = 3.8904 Å, b = 4.9780 Å, c = 4.9780 Å
α = 68.76°, β = 90.00°, γ = 90.00°
Fractional positions:
Pr 0.0000 0.0000 0.0000
Al 0.5000 0.5448 0.5448
Si 0.5000 0.0611 0.4810
Si 0.5000 0.4810 0.0611

Formation energy (no corrections) ... -0.7 eV per formula unit
Spin magnetization ... 0.000 μB per formula unit